A | Computed, not measured: crystalline BaThPt2 at its relaxed geometry at the PBE level of DFT.

Cell and atoms, written as CIF:
```
data_BaThPt2
_chemical_formula_sum 'Ba3 Th3 Pt6'
_cell_length_a 4.2834
_cell_length_b 4.2834
_cell_length_c 22.2810
_cell_angle_alpha 90.00
_cell_angle_beta 90.00
_cell_angle_gamma 120.00
_space_group_name_H-M_alt 'R -3 m'
_space_group_IT_number 166
_space_group_name_Hall '-R 3 2"'
loop_
_atom_site_label
_atom_site_fract_x
_atom_site_fract_y
_atom_site_fract_z
Ba1 0.0000 0.0000 0.0000
Th1 0.0000 0.0000 0.5000
Pt1 0.0000 0.0000 0.2363
```

***

B | Computed, not measured: crystalline BaThPt2 at its relaxed geometry at the PBE level of DFT.

Cell and atoms, written as CIF:
```
data_BaThPt2
_chemical_formula_sum 'Ba1 Th1 Pt2'
_cell_length_a 3.7287
_cell_length_b 3.7287
_cell_length_c 7.7797
_cell_angle_alpha 90.00
_cell_angle_beta 90.00
_cell_angle_gamma 90.00
_space_group_name_H-M_alt 'P 4/m m m'
_space_group_IT_number 123
_space_group_name_Hall '-P 4 2'
loop_
_atom_site_label
_atom_site_fract_x
_atom_site_fract_y
_atom_site_fract_z
Ba1 0.0000 0.0000 0.0000
Th1 0.0000 0.0000 0.5000
Pt1 0.5000 0.5000 0.3083
```

***

C | Computed, not measured: crystalline BaThPt2 at its relaxed geometry at the PBE level of DFT.

Cell and atoms, written as CIF:
```
data_BaThPt2
_chemical_formula_sum 'Ba3 Th3 Pt6'
_cell_length_a 4.2104
_cell_length_b 4.2104
_cell_length_c 23.2438
_cell_angle_alpha 90.00
_cell_angle_beta 90.00
_cell_angle_gamma 120.00
_space_group_name_H-M_alt 'R 3 m'
_space_group_IT_number 160
_space_group_name_Hall 'R 3 -2"'
loop_
_atom_site_label
_atom_site_fract_x
_atom_site_fract_y
_atom_site_fract_z
Ba1 0.0000 0.0000 0.0000
Th1 0.0000 0.0000 0.1720
Pt1 0.0000 0.0000 0.5737
Pt2 0.0000 0.0000 0.7684
```

***

Least stable: C

***

A | Computed, not measured: crystalline BaTiPt2 at its relaxed geometry at the PBE level of DFT.

Cell and atoms, written as CIF:
```
data_BaTiPt2
_chemical_formula_sum 'Ba1 Ti1 Pt2'
_cell_length_a 3.3033
_cell_length_b 3.3033
_cell_length_c 7.8188
_cell_angle_alpha 90.00
_cell_angle_beta 90.00
_cell_angle_gamma 90.00
_space_group_name_H-M_alt 'P 4/m m m'
_space_group_IT_number 123
_space_group_name_Hall '-P 4 2'
loop_
_atom_site_label
_atom_site_fract_x
_atom_site_fract_y
_atom_site_fract_z
Ba1 0.0000 0.0000 0.0000
Ti1 0.0000 0.0000 0.5000
Pt1 0.5000 0.5000 0.3211
```

***

B | Computed, not measured: crystalline BaTiPt2 at its relaxed geometry at the PBE level of DFT.

Cell and atoms, written as CIF:
```
data_BaTiPt2
_chemical_formula_sum 'Ba4 Ti4 Pt8'
_cell_length_a 7.0423
_cell_length_b 7.0423
_cell_length_c 7.0423
_cell_angle_alpha 90.00
_cell_angle_beta 90.00
_cell_angle_gamma 90.00
_space_group_name_H-M_alt 'F m -3 m'
_space_group_IT_number 225
_space_group_name_Hall '-F 4 2 3'
loop_
_atom_site_label
_atom_site_fract_x
_atom_site_fract_y
_atom_site_fract_z
Ba1 0.0000 0.0000 0.0000
Ti1 0.0000 0.0000 0.5000
Pt1 0.2500 0.2500 0.2500
```

***

Least stable: B

***

A | Computed, not measured: crystalline BaTi3Pt at its relaxed geometry at the PBE level of DFT.

Cell and atoms, written as CIF:
```
data_BaTi3Pt
_chemical_formula_sum 'Ba1 Ti3 Pt1'
_cell_length_a 5.0047
_cell_length_b 5.0047
_cell_length_c 5.0047
_cell_angle_alpha 90.00
_cell_angle_beta 90.00
_cell_angle_gamma 90.00
_space_group_name_H-M_alt 'P m -3 m'
_space_group_IT_number 221
_space_group_name_Hall '-P 4 2 3'
loop_
_atom_site_label
_atom_site_fract_x
_atom_site_fract_y
_atom_site_fract_z
Ba1 0.0000 0.0000 0.0000
Ti1 0.0000 0.5000 0.5000
Pt1 0.5000 0.5000 0.5000
```

***

B | Computed, not measured: crystalline BaTi3Pt at its relaxed geometry at the PBE level of DFT.

Cell and atoms, written as CIF:
```
data_BaTi3Pt
_chemical_formula_sum 'Ba1 Ti3 Pt1'
_cell_length_a 4.8645
_cell_length_b 4.8645
_cell_length_c 4.8645
_cell_angle_alpha 90.00
_cell_angle_beta 90.00
_cell_angle_gamma 90.00
_space_group_name_H-M_alt 'P m -3 m'
_space_group_IT_number 221
_space_group_name_Hall '-P 4 2 3'
loop_
_atom_site_label
_atom_site_fract_x
_atom_site_fract_y
_atom_site_fract_z
Ba1 0.0000 0.0000 0.0000
Ti1 0.0000 0.0000 0.5000
Pt1 0.5000 0.5000 0.5000
```

***

Least stable: B

***

A | Computed, not measured: crystalline Ba2TiPt at its relaxed geometry at the PBE level of DFT.

Cell and atoms, written as CIF:
```
data_Ba2TiPt
_chemical_formula_sum 'Ba8 Ti4 Pt4'
_cell_length_a 11.9390
_cell_length_b 11.9390
_cell_length_c 4.9495
_cell_angle_alpha 90.00
_cell_angle_beta 90.00
_cell_angle_gamma 90.00
_space_group_name_H-M_alt 'I -4 2 d'
_space_group_IT_number 122
_space_group_name_Hall 'I -4 2bw'
loop_
_atom_site_label
_atom_site_fract_x
_atom_site_fract_y
_atom_site_fract_z
Ba1 0.0847 0.2500 0.1250
Ti1 0.0000 0.0000 0.5000
Pt1 0.0000 0.0000 0.0000
```

***

B | Computed, not measured: crystalline Ba2TiPt at its relaxed geometry at the PBE level of DFT.

Cell and atoms, written as CIF:
```
data_Ba2TiPt
_chemical_formula_sum 'Ba8 Ti4 Pt4'
_cell_length_a 7.8658
_cell_length_b 7.8658
_cell_length_c 7.8658
_cell_angle_alpha 90.00
_cell_angle_beta 90.00
_cell_angle_gamma 90.00
_space_group_name_H-M_alt 'F m -3 m'
_space_group_IT_number 225
_space_group_name_Hall '-F 4 2 3'
loop_
_atom_site_label
_atom_site_fract_x
_atom_site_fract_y
_atom_site_fract_z
Ba1 0.2500 0.2500 0.2500
Ti1 0.0000 0.0000 0.0000
Pt1 0.0000 0.0000 0.5000
```

***

Least stable: B

***

A | Computed, not measured: crystalline Ba2Tl2Pt at its relaxed geometry at the PBE level of DFT.

Cell and atoms, written as CIF:
```
data_Ba2Tl2Pt
_chemical_formula_sum 'Ba4 Tl4 Pt2'
_cell_length_a 7.7780
_cell_length_b 7.7780
_cell_length_c 5.4364
_cell_angle_alpha 90.00
_cell_angle_beta 90.00
_cell_angle_gamma 90.00
_space_group_name_H-M_alt 'P 4/m b m'
_space_group_IT_number 127
_space_group_name_Hall '-P 4 2ab'
loop_
_atom_site_label
_atom_site_fract_x
_atom_site_fract_y
_atom_site_fract_z
Ba1 0.1725 0.3275 0.0000
Tl1 0.1428 0.6428 0.5000
Pt1 0.0000 0.0000 0.5000
```

***

B | Computed, not measured: crystalline Ba2Tl2Pt at its relaxed geometry at the PBE level of DFT.

Cell and atoms, written as CIF:
```
data_Ba2Tl2Pt
_chemical_formula_sum 'Ba8 Tl8 Pt4'
_cell_length_a 12.9937
_cell_length_b 4.4289
_cell_length_c 12.9039
_cell_angle_alpha 90.00
_cell_angle_beta 112.85
_cell_angle_gamma 90.00
_space_group_name_H-M_alt 'C 1 2/m 1'
_space_group_IT_number 12
loop_
_space_group_symop_operation_xyz
'x,y,z'
'-x,-y,-z'
'-x,y,-z'
'x,-y,z'
'x+1/2,y+1/2,z'
'-x+1/2,-y+1/2,-z'
'-x+1/2,y+1/2,-z'
'x+1/2,-y+1/2,z'
loop_
_atom_site_label
_atom_site_fract_x
_atom_site_fract_y
_atom_site_fract_z
Ba1 0.0021 0.0000 0.3408
Ba2 0.1894 0.0000 0.1290
Tl1 0.0344 0.5000 0.8891
Tl2 0.1842 0.5000 0.5597
Pt1 0.1769 0.5000 0.3155
```

***

Least stable: A

***

A | Computed, not measured: crystalline Ba2Tl5Pt3 at its relaxed geometry at the PBE level of DFT.

Cell and atoms, written as CIF:
```
data_Ba2Tl5Pt3
_chemical_formula_sum 'Ba8 Tl20 Pt12'
_cell_length_a 4.7759
_cell_length_b 28.3216
_cell_length_c 7.9987
_cell_angle_alpha 90.00
_cell_angle_beta 90.00
_cell_angle_gamma 90.00
_space_group_name_H-M_alt 'C m c 21'
_space_group_IT_number 36
loop_
_space_group_symop_operation_xyz
'x,y,z'
'-x,-y,z+1/2'
'-x,y,z'
'x,-y,z+1/2'
'x+1/2,y+1/2,z'
'-x+1/2,-y+1/2,z+1/2'
'-x+1/2,y+1/2,z'
'x+1/2,-y+1/2,z+1/2'
loop_
_atom_site_label
_atom_site_fract_x
_atom_site_fract_y
_atom_site_fract_z
Ba1 0.0000 0.0270 0.0000
Ba2 0.0000 0.3242 0.0703
Tl1 0.0000 0.0967 0.3766
Tl2 0.0000 0.2061 0.8763
Tl3 0.0000 0.2090 0.2741
Tl4 0.0000 0.3718 0.5381
Tl5 0.0000 0.4474 0.1708
Pt1 0.0000 0.1108 0.7461
Pt2 0.0000 0.2697 0.5798
Pt3 0.0000 0.4556 0.8001
```

***

B | Computed, not measured: crystalline Ba2Tl5Pt3 at its relaxed geometry at the PBE level of DFT.

Cell and atoms, written as CIF:
```
data_Ba2Tl5Pt3
_chemical_formula_sum 'Ba8 Tl20 Pt12'
_cell_length_a 10.8993
_cell_length_b 15.0538
_cell_length_c 6.9717
_cell_angle_alpha 90.00
_cell_angle_beta 90.00
_cell_angle_gamma 90.00
_space_group_name_H-M_alt 'I b a m'
_space_group_IT_number 72
_space_group_name_Hall '-I 2 2c'
loop_
_atom_site_label
_atom_site_fract_x
_atom_site_fract_y
_atom_site_fract_z
Ba1 0.2306 0.1111 0.0000
Tl1 0.0000 0.2749 0.2500
Tl2 0.0000 0.5000 0.2500
Tl3 0.1179 0.1214 0.5000
Pt1 0.0000 0.0000 0.2500
Pt2 0.1318 0.3865 0.0000
```

***

Least stable: B